1.
Computed, not measured: a geometry-optimized La2Cu2Au structure at the GGA-PBEsol level of DFT.

Values from the calculation:
- Electronic total energy: -0.36686 Ry/atom
- Space group: No. 127
- ΔE_f: -1.67 eV/f.u.

Structure (extended XYZ):
```
10
Lattice="7.307 0.000 0.000 0.000 7.307 0.000 0.000 0.000 4.045" Properties=species:S:1:pos:R:3 pbc="T T T"
La 1.307 2.346 0.000
La 2.346 6.000 0.000
La 4.961 1.307 0.000
La 6.000 4.961 0.000
Cu 0.872 4.526 2.022
Cu 2.781 0.872 2.022
Cu 4.526 6.435 2.022
Cu 6.435 2.781 2.022
Au 0.000 0.000 2.022
Au 3.653 3.653 2.022
```

***

2.
Computed, not measured: a geometry-optimized LaCu2Au structure at the GGA-PBEsol level of DFT.

Values from the calculation:
- Electronic total energy: -0.35311 Ry/atom
- Space group: No. 160
- ΔE_f: -1.28 eV/f.u.

Structure (extended XYZ):
```
4
Lattice="2.144 1.238 4.903 -2.144 1.238 4.903 0.000 -2.476 4.903" Properties=species:S:1:pos:R:3 pbc="T T T"
La 0.000 0.000 0.000
Cu 0.000 0.000 3.023
Cu 0.000 0.000 7.673
Au 0.000 0.000 11.673
```

***

3.
Computed, not measured: a geometry-optimized LiCuAu2 structure at the GGA-PBEsol level of DFT.

Values from the calculation:
- Electronic total energy: -0.28009 Ry/atom
- Space group: No. 123
- ΔE_f: -1.09 eV/f.u.

Structure (extended XYZ):
```
4
Lattice="2.797 0.000 0.000 0.000 2.797 0.000 0.000 0.000 7.371" Properties=species:S:1:pos:R:3 pbc="T T T"
Li 0.000 0.000 0.000
Cu 0.000 0.000 3.686
Au 1.399 1.399 1.877
Au 1.399 1.399 5.494
```

***

4.
Computed, not measured: a geometry-optimized LiCu2Au structure at the GGA-PBEsol level of DFT.

Values from the calculation:
- Energy above the most stable polymorph in this dataset: 0.000 eV per atom
- Electronic total energy: -0.28141 Ry/atom
- Space group: No. 139
- ΔE_f: -0.76 eV/f.u.

Structure (extended XYZ):
```
4
Lattice="-1.827 1.827 3.847 1.827 -1.827 3.847 1.827 1.827 -3.847" Properties=species:S:1:pos:R:3 pbc="T T T"
Li 0.000 0.000 0.000
Cu 1.827 0.000 1.923
Cu 0.000 1.827 1.923
Au 0.000 0.000 3.847
```